# LiSmSn2Au4

A relaxed LiSmSn2Au4 crystal (PBE-GGA, the Alexandria database).

Properties
Total DFT energy (no corrections), eV/atom: -4.000
Total magnetization, μB/f.u.: 0.000
Formation enthalpy at 0 K, meV/atom: -532

```
data_LiSmSn2Au4
_chemical_formula_sum 'Li3 Sm3 Sn6 Au12'
_symmetry_space_group_name_H-M 'R -3 m'
_symmetry_Int_Tables_number 166
_symmetry_space_group_name_Hall '-R 3 2"'
_cell_length_a 4.6926
_cell_length_b 4.6926
_cell_length_c 26.2982
_cell_angle_alpha 90.00
_cell_angle_beta 90.00
_cell_angle_gamma 120.00
loop_
_atom_site_label
_atom_site_fract_x
_atom_site_fract_y
_atom_site_fract_z
Li1 0.0000 0.0000 0.0000
Sm1 0.0000 0.0000 0.5000
Sn1 0.0000 0.0000 0.2562
Au1 0.0000 0.0000 0.1099
Au2 0.0000 0.0000 0.3643
```

# Y2ScZn6

A relaxed Y2ScZn6 crystal (PBE-GGA, the Alexandria database).

Properties
Total DFT energy (no corrections), eV/atom: -3.360
Total magnetization, μB/f.u.: 0.001
Formation enthalpy at 0 K, meV/atom: -371

```
data_Y2ScZn6
_chemical_formula_sum 'Y2 Sc1 Zn6'
_symmetry_space_group_name_H-M 'P 6/m m m'
_symmetry_Int_Tables_number 191
_symmetry_space_group_name_Hall '-P 6 2'
_cell_length_a 7.6904
_cell_length_b 7.6904
_cell_length_c 3.4206
_cell_angle_alpha 90.00
_cell_angle_beta 90.00
_cell_angle_gamma 120.00
loop_
_atom_site_label
_atom_site_fract_x
_atom_site_fract_y
_atom_site_fract_z
Y1 0.3333 0.6667 0.0000
Sc1 0.0000 0.0000 0.0000
Zn1 0.0000 0.3283 0.5000
```

# GaFe7Co3

A relaxed GaFe7Co3 crystal (PBE-GGA, the Alexandria database).

Properties
Total DFT energy (no corrections), eV/atom: -7.516
Total magnetization, μB/f.u.: 22.551
Formation enthalpy at 0 K, meV/atom: 82

```
data_GaFe7Co3
_chemical_formula_sum 'Ga4 Fe28 Co12'
_symmetry_space_group_name_H-M 'C m c m'
_symmetry_Int_Tables_number 63
_symmetry_space_group_name_Hall '-C 2c 2'
_cell_length_a 2.7439
_cell_length_b 21.1395
_cell_length_c 9.1508
_cell_angle_alpha 90.00
_cell_angle_beta 90.00
_cell_angle_gamma 90.00
loop_
_atom_site_label
_atom_site_fract_x
_atom_site_fract_y
_atom_site_fract_z
Ga1 0.0000 0.0953 0.2500
Fe1 0.0000 0.2168 0.5901
Fe2 0.0000 0.3461 0.5677
Fe3 0.0000 0.3566 0.2500
Fe4 0.0000 0.4858 0.6184
Co1 0.0000 0.0808 0.5759
Co2 0.0000 0.2167 0.2500
```

# CsGa2Si

A relaxed CsGa2Si crystal (PBE-GGA, the Alexandria database).

Properties
Total DFT energy (no corrections), eV/atom: -2.939
Total magnetization, μB/f.u.: 0.000
E_form (uncorrected), kcal/mol of atoms: 3.32

```
data_CsGa2Si
_chemical_formula_sum 'Cs4 Ga8 Si4'
_symmetry_space_group_name_H-M 'I 41/a m d'
_symmetry_Int_Tables_number 141
_cell_length_a 5.5819
_cell_length_b 5.5819
_cell_length_c 16.7388
_cell_angle_alpha 90.00
_cell_angle_beta 90.00
_cell_angle_gamma 90.00
loop_
_symmetry_equiv_pos_as_xyz
'x,y,z'
'-x,-y,-z'
'-y+1/4,x+3/4,z+1/4'
'y+1/4,-x+3/4,-z+1/4'
'-x+1/2,-y,z+1/2'
'x+1/2,y,-z+1/2'
'y+1/4,-x+1/4,z+3/4'
'-y+1/4,x+1/4,-z+3/4'
'x,-y,-z'
'-x,y,z'
'-y+1/4,-x+1/4,-z+3/4'
'y+1/4,x+1/4,z+3/4'
'-x+1/2,y,-z+1/2'
'x+1/2,-y,z+1/2'
'y+1/4,x+3/4,-z+1/4'
'-y+1/4,-x+3/4,z+1/4'
'x+1/2,y+1/2,z+1/2'
'-x+1/2,-y+1/2,-z+1/2'
'-y+3/4,x+1/4,z+3/4'
'y+3/4,-x+1/4,-z+3/4'
'-x,-y+1/2,z'
'x,y+1/2,-z'
'y+3/4,-x+3/4,z+1/4'
'-y+3/4,x+3/4,-z+1/4'
'x+1/2,-y+1/2,-z+1/2'
'-x+1/2,y+1/2,z+1/2'
'-y+3/4,-x+3/4,-z+1/4'
'y+3/4,x+3/4,z+1/4'
'-x,y+1/2,-z'
'x,-y+1/2,z'
'y+3/4,x+1/4,-z+3/4'
'-y+3/4,-x+1/4,z+3/4'
loop_
_atom_site_label
_atom_site_fract_x
_atom_site_fract_y
_atom_site_fract_z
Cs1 0.0000 0.2500 0.3750
Ga1 0.0000 0.0000 0.0000
Si1 0.0000 0.2500 0.8750
```

# Er8SiSe6

A relaxed Er8SiSe6 crystal (PBE-GGA, the Alexandria database).

Properties
Total DFT energy (no corrections), eV/atom: -5.413
Total magnetization, μB/f.u.: 0.001
E_form (uncorrected), kcal/mol of atoms: -28.22

```
data_Er8SiSe6
_chemical_formula_sum 'Er8 Si1 Se6'
_symmetry_space_group_name_H-M 'P -3'
_symmetry_Int_Tables_number 147
_symmetry_space_group_name_Hall '-P 3'
_cell_length_a 10.3286
_cell_length_b 10.3286
_cell_length_c 3.9861
_cell_angle_alpha 90.00
_cell_angle_beta 90.00
_cell_angle_gamma 120.00
loop_
_atom_site_label
_atom_site_fract_x
_atom_site_fract_y
_atom_site_fract_z
Er1 0.0299 0.2982 0.2448
Er2 0.3333 0.6667 0.7519
Si1 0.0000 0.0000 0.0000
Se1 0.1289 0.6508 0.2496
```

# Ga2AgN2

A relaxed Ga2AgN2 crystal (PBE-GGA, the Alexandria database).

Properties
Total DFT energy (no corrections), eV/atom: -4.731
Total magnetization, μB/f.u.: 0.000
E_form (uncorrected), kcal/mol of atoms: 8.77

```
data_Ga2AgN2
_chemical_formula_sum 'Ga4 Ag2 N4'
_symmetry_space_group_name_H-M 'I 4/m m m'
_symmetry_Int_Tables_number 139
_symmetry_space_group_name_Hall '-I 4 2'
_cell_length_a 4.0115
_cell_length_b 4.0115
_cell_length_c 10.9490
_cell_angle_alpha 90.00
_cell_angle_beta 90.00
_cell_angle_gamma 90.00
loop_
_atom_site_label
_atom_site_fract_x
_atom_site_fract_y
_atom_site_fract_z
Ga1 0.0000 0.5000 0.2500
Ag1 0.0000 0.0000 0.0000
N1 0.0000 0.0000 0.1986
```

# CsPdCl3

A relaxed CsPdCl3 crystal (PBE-GGA, the Alexandria database).

Properties
Total DFT energy (no corrections), eV/atom: -3.435
Total magnetization, μB/f.u.: 0.000
E_form (uncorrected), kcal/mol of atoms: -25.77

```
data_CsPdCl3
_chemical_formula_sum 'Cs8 Pd8 Cl24'
_symmetry_space_group_name_H-M 'I b a m'
_symmetry_Int_Tables_number 72
_symmetry_space_group_name_Hall '-I 2 2c'
_cell_length_a 10.6559
_cell_length_b 13.9686
_cell_length_c 9.1801
_cell_angle_alpha 90.00
_cell_angle_beta 90.00
_cell_angle_gamma 90.00
loop_
_atom_site_label
_atom_site_fract_x
_atom_site_fract_y
_atom_site_fract_z
Cs1 0.0000 0.1756 0.2500
Pd1 0.1459 0.4474 0.0000
Cl1 0.0638 0.3963 0.5000
Cl2 0.1506 0.0021 0.0000
Cl3 0.2164 0.2912 0.0000
```

# VPd3Ru

A relaxed VPd3Ru crystal (PBE-GGA, the Alexandria database).

Properties
Total DFT energy (no corrections), eV/atom: -5.673
Total magnetization, μB/f.u.: 2.141
Formation enthalpy at 0 K, meV/atom: 1121

```
data_VPd3Ru
_chemical_formula_sum 'V1 Pd3 Ru1'
_symmetry_space_group_name_H-M 'P m -3 m'
_symmetry_Int_Tables_number 221
_symmetry_space_group_name_Hall '-P 4 2 3'
_cell_length_a 4.5349
_cell_length_b 4.5349
_cell_length_c 4.5349
_cell_angle_alpha 90.00
_cell_angle_beta 90.00
_cell_angle_gamma 90.00
loop_
_atom_site_label
_atom_site_fract_x
_atom_site_fract_y
_atom_site_fract_z
V1 0.0000 0.0000 0.0000
Pd1 0.0000 0.0000 0.5000
Ru1 0.5000 0.5000 0.5000
```